Record 1
Computed, not measured: Tb3Nd2Y after structural relaxation at the PBE-GGA level of DFT.

a b c (Å): 17.274 5.650 10.020
angles (deg): 90.00 125.18 90.00
Space group C2/m (No. 12)
Symmetry-distinct sites (fractional):
Tb  0.046  0.000  0.389
Tb  0.114  0.500  0.658
Tb  0.211  0.500  0.428
Nd  0.007  0.500  0.857
Nd  0.232  0.000  0.875
Y  0.132  0.000  0.132

Values from the calculation:
Its relative energy among the computed polymorphs is 0.0 kJ/mol of atoms. Its final energy is -29.34 eV/f.u. The calculation puts the formation energy at 91 meV per atom. For the magnetic moment, the calculation gives 0.000 μB/f.u.

=====

Record 2
Computed, not measured: TbNd4Y7 after structural relaxation at the PBE-GGA level of DFT.

a b c (Å): 12.190 5.932 12.924
angles (deg): 90.00 117.54 90.00
Space group C2/m (No. 12)
Symmetry-distinct sites (fractional):
Tb  0.000  0.000  0.000
Nd  0.141  0.500  0.777
Nd  0.216  0.000  0.662
Y  0.000  0.500  0.000
Y  0.072  0.000  0.307
Y  0.133  0.500  0.494
Y  0.211  0.000  0.923

Values from the calculation:
Its relative energy among the computed polymorphs is 0.0 kJ/mol of atoms. Its final energy is -65.74 eV/f.u. The calculation puts the formation energy at 267 meV per atom. For the magnetic moment, the calculation gives 0.339 μB/f.u.

=====

Record 3
Computed, not measured: TbNd3Y8 after structural relaxation at the PBE-GGA level of DFT.

a b c (Å): 8.783 8.783 11.440
angles (deg): 90.00 90.00 90.00
Space group I-42m (No. 121)
Symmetry-distinct sites (fractional):
Tb  0.000  0.000  0.000
Nd  0.000  0.000  0.500
Nd  0.000  0.500  0.250
Y  0.126  0.126  0.246
Y  0.245  0.245  0.991

Values from the calculation:
Its final energy is -63.12 eV/f.u. The calculation puts the formation energy at 627 meV per atom. For the magnetic moment, the calculation gives 0.016 μB/f.u.

=====

Record 4
Computed, not measured: Tb9Nd11Y4 after structural relaxation at the PBE-GGA level of DFT.

a b c (Å): 17.087 25.960 3.671
angles (deg): 90.00 90.00 90.00
Space group Cmmm (No. 65)
Symmetry-distinct sites (fractional):
Tb  0.000  0.000  0.000
Tb  0.102  0.232  0.000
Tb  0.140  0.427  0.000
Nd  0.000  0.132  0.500
Nd  0.000  0.339  0.500
Nd  0.000  0.500  0.500
Nd  0.210  0.000  0.500
Nd  0.222  0.319  0.500
Y  0.158  0.102  0.000

Values from the calculation:
Its final energy is -118.50 eV/f.u. The calculation puts the formation energy at 62 meV per atom. For the magnetic moment, the calculation gives 0.000 μB/f.u.

=====

Record 5
Computed, not measured: TbNd2Y4 after structural relaxation at the PBE-GGA level of DFT.

a b c (Å): 3.578 8.682 8.846
angles (deg): 119.30 90.05 101.87
Space group P-1 (No. 2)
Symmetry-distinct sites (fractional):
Tb  0.000  0.000  0.000
Nd  0.069  0.139  0.430
Y  0.296  0.590  0.708
Y  0.355  0.710  0.155

Values from the calculation:
Its relative energy among the computed polymorphs is 0.0 kJ/mol of atoms. Its final energy is -39.72 eV/f.u. The calculation puts the formation energy at 43 meV per atom. For the magnetic moment, the calculation gives 0.000 μB/f.u.

=====

Record 6
Computed, not measured: Tb15Nd4Y after structural relaxation at the PBE-GGA level of DFT.

a b c (Å): 5.077 5.077 25.320
angles (deg): 90.00 90.00 90.00
Space group P4/mmm (No. 123)
Symmetry-distinct sites (fractional):
Tb  0.000  0.000  0.000
Tb  0.000  0.000  0.199
Tb  0.000  0.000  0.400
Tb  0.000  0.500  0.099
Tb  0.000  0.500  0.299
Tb  0.000  0.500  0.500
Nd  0.500  0.500  0.199
Nd  0.500  0.500  0.400
Y  0.500  0.500  0.000

Values from the calculation:
Its final energy is -94.65 eV/f.u. The calculation puts the formation energy at 17 meV per atom. For the magnetic moment, the calculation gives 0.000 μB/f.u.